# 1
# Ba2MgZnO (PBE-GGA, relaxed)
# - Final energy: -16.405 eV per cell
# - Energy relative to the elements, uncorrected: -946.6 meV/atom
# - Total magnetic moment: 0.00 μB/f.u.
data_Ba2MgZnO
_space_group_name_H-M_alt 'P 4/m m m'
_space_group_IT_number 123
_space_group_name_Hall '-P 4 2'
_cell_length_a 5.761
_cell_length_b 5.761
_cell_length_c 4.196
_cell_angle_alpha 90.00
_cell_angle_beta 90.00
_cell_angle_gamma 90.00
loop_
_atom_site_label
_atom_site_type_symbol
_atom_site_fract_x
_atom_site_fract_y
_atom_site_fract_z
_atom_site_occupancy
Ba1 Ba 0.000 0.500 0.000 1
Mg1 Mg 0.000 0.000 0.500 1
Zn1 Zn 0.500 0.500 0.500 1
O1 O 0.000 0.000 0.000 1

=====

# 2
# Ba3MgZn2O6 (PBE-GGA, relaxed)
# - Final energy: -63.509 eV per cell
# - Energy relative to the elements, uncorrected: -1987.4 meV/atom
# - Total magnetic moment: 0.00 μB/f.u.
data_Ba3MgZn2O6
_space_group_name_H-M_alt 'P -3 m 1'
_space_group_IT_number 164
_space_group_name_Hall '-P 3 2"'
_cell_length_a 6.0666
_cell_length_b 6.0666
_cell_length_c 6.8185
_cell_angle_alpha 90.00
_cell_angle_beta 90.00
_cell_angle_gamma 120.00
loop_
_atom_site_label
_atom_site_type_symbol
_atom_site_fract_x
_atom_site_fract_y
_atom_site_fract_z
_atom_site_occupancy
Ba1 Ba 0.0000 0.0000 0.0000 1
Ba2 Ba 0.3333 0.6667 0.6528 1
Mg1 Mg 0.0000 0.0000 0.5000 1
Zn1 Zn 0.3333 0.6667 0.2218 1
O1 O 0.1622 0.3243 0.3054 1

=====

# 3
# Ba3Mg2ZrO8 (PBE-GGA, relaxed)
# - Final energy: -91.694 eV per cell
# - Energy relative to the elements, uncorrected: -2465.9 meV/atom
# - Total magnetic moment: 2.08 μB/f.u.
data_Ba3Mg2ZrO8
_space_group_name_H-M_alt 'P -3 m 1'
_space_group_IT_number 164
_space_group_name_Hall '-P 3 2"'
_cell_length_a 5.9751
_cell_length_b 5.9751
_cell_length_c 7.7101
_cell_angle_alpha 90.00
_cell_angle_beta 90.00
_cell_angle_gamma 120.00
loop_
_atom_site_label
_atom_site_type_symbol
_atom_site_fract_x
_atom_site_fract_y
_atom_site_fract_z
_atom_site_occupancy
Ba1 Ba 0.0000 0.0000 0.0000 1
Ba2 Ba 0.3333 0.6667 0.6453 1
Mg1 Mg 0.3333 0.6667 0.2223 1
Zr1 Zr 0.0000 0.0000 0.5000 1
O1 O 0.1630 0.3260 0.3337 1
O2 O 0.3333 0.6667 0.9735 1